(1)
VASP calculation (PBE) on a geometry-optimized SrAs2BrCl structure.

Properties
Distance to the lowest polymorph of the same formula: 0.00 eV/f.u.
Density of states at the Fermi level: 4.6 states/eV per cell
ΔE_f (raw): -0.95 eV/f.u.

POSCAR file:
```
SrAs2BrCl
1.0
-3.281 3.048 1.723
-2.156 0.102 -4.286
-3.730 -5.009 1.757
Sr As Br Cl
1 2 1 1
direct
0.500 0.500 0.500
0.000 0.500 0.000
0.500 0.000 0.000
0.000 0.000 0.500
0.000 0.000 0.000
```

***

(2)
VASP calculation (PBE) on a geometry-optimized Pr2In2Au15 structure.

Properties
Density of states at the Fermi level: 8.5 states/eV per cell
Energy of formation: -296 meV per atom

POSCAR file:
```
Pr2In2Au15
1.0
-5.841 3.101 3.361
2.160 -0.803 7.051
2.784 6.781 1.138
Pr In Au
2 2 15
direct
0.349 0.349 0.349
0.651 0.651 0.651
0.103 0.103 0.103
0.897 0.897 0.897
0.500 0.000 0.000
0.000 0.000 0.500
0.000 0.500 0.000
0.000 0.694 0.306
0.694 0.306 0.000
0.306 0.000 0.694
0.306 0.694 0.000
0.694 0.000 0.306
0.000 0.306 0.694
0.158 0.636 0.636
0.636 0.636 0.158
0.636 0.158 0.636
0.842 0.364 0.364
0.364 0.364 0.842
0.364 0.842 0.364
```